# 1
Here is crystalline Y2Be12Co5 at its relaxed geometry from the Alexandria database. Energies are from PBE.

Lattice parameters (Å, degrees): 5.9590 5.9590 5.9590 83.33 83.33 83.33
Site moments in Bohr magnetons follow the coordinates.
Positions (direct):
Y (0.6598, 0.6598, 0.6598)  -0.01
Y (0.3402, 0.3402, 0.3402)  -0.01
Be (0.2760, 0.7240, 0.0000)  -0.01
Be (0.7240, 0.0000, 0.2760)  -0.01
Be (0.0000, 0.2760, 0.7240)  -0.01
Be (0.7240, 0.2760, 0.0000)  -0.01
Be (0.2760, 0.0000, 0.7240)  -0.01
Be (0.0000, 0.7240, 0.2760)  -0.01
Be (0.3343, 0.3343, 0.8526)  -0.01
Be (0.3343, 0.8526, 0.3343)  -0.01
Be (0.8526, 0.3343, 0.3343)  -0.01
Be (0.6657, 0.1474, 0.6657)  -0.01
Be (0.6657, 0.6657, 0.1474)  -0.01
Be (0.1474, 0.6657, 0.6657)  -0.01
Co (0.0000, 0.0000, 0.5000)  0.50
Co (0.0000, 0.5000, 0.0000)  0.50
Co (0.5000, 0.0000, 0.0000)  0.50
Co (0.9024, 0.9024, 0.9024)  0.99
Co (0.0976, 0.0976, 0.0976)  0.99

Properties
- E_tot: -97.26 eV per cell
- Spin magnetization: 3.307 μB/f.u.
- Formation enthalpy at 0 K: -0.2150 eV/atom



# 2
Here is crystalline BeZnCo2 at its relaxed geometry from the Alexandria database. Energies are from PBE.

Lattice parameters (Å, degrees): 4.6381 4.6381 4.6381 146.15 129.43 62.25
Site moments in Bohr magnetons follow the coordinates.
Positions (direct):
Be (0.2409, 0.7409, 0.5000)  -0.04
Zn (0.4887, 0.4887, 0.0000)  -0.03
Co (0.0132, 0.0132, 0.0000)  0.99
Co (0.7572, 0.2572, 0.5000)  1.08

Properties
- E above lowest polymorph: 105 meV per atom
- E_tot: -19.25 eV per cell
- Spin magnetization: 1.929 μB/f.u.
- Formation enthalpy at 0 K: -0.0098 eV/atom



# 3
Here is crystalline BeZnCo at its relaxed geometry from the Alexandria database. Energies are from PBE.

Lattice parameters (Å, degrees): 4.6824 4.6822 2.7290 73.06 73.05 33.89
Positions (direct):
Be (0.9778, 0.9778, 0.0222)
Zn (0.6659, 0.6659, 0.3341)
Co (0.3563, 0.3563, 0.6437)

Properties
- E above lowest polymorph: 0 meV per atom
- E_tot: -12.44 eV per cell
- Spin magnetization: 0.000 μB/f.u.
- Formation enthalpy at 0 K: -0.1113 eV/atom



# 4
Here is crystalline Be2Zn2Co at its relaxed geometry from the Alexandria database. Energies are from PBE.

Lattice parameters (Å, degrees): 6.5756 6.5756 2.5816 90.00 90.00 90.00
Site moments in Bohr magnetons follow the coordinates.
Positions (direct):
Be (0.1665, 0.6665, 0.5000)  -0.01
Be (0.6665, 0.8335, 0.5000)  0.00
Be (0.8335, 0.3335, 0.5000)  -0.01
Be (0.3335, 0.1665, 0.5000)  0.00
Zn (0.3641, 0.8641, 0.0000)  -0.01
Zn (0.8641, 0.6359, 0.0000)  0.00
Zn (0.6359, 0.1359, 0.0000)  -0.01
Zn (0.1359, 0.3641, 0.0000)  0.00
Co (0.0000, 0.0000, 0.0000)  1.14
Co (0.5000, 0.5000, 0.0000)  1.14

Properties
- E above lowest polymorph: 84 meV per atom
- E_tot: -32.07 eV per cell
- Spin magnetization: 1.075 μB/f.u.
- Formation enthalpy at 0 K: 0.2139 eV/atom



# 5
Here is crystalline Be2Zn2Co at its relaxed geometry from the Alexandria database. Energies are from PBE.

Lattice parameters (Å, degrees): 6.1948 6.1948 2.8034 90.00 90.00 90.00
Positions (direct):
Be (0.3708, 0.8708, 0.0000)
Be (0.8708, 0.6292, 0.0000)
Be (0.6292, 0.1292, 0.0000)
Be (0.1292, 0.3708, 0.0000)
Zn (0.1704, 0.6704, 0.5000)
Zn (0.6704, 0.8296, 0.5000)
Zn (0.8296, 0.3296, 0.5000)
Zn (0.3296, 0.1704, 0.5000)
Co (0.0000, 0.0000, 0.0000)
Co (0.5000, 0.5000, 0.0000)

Properties
- E above lowest polymorph: 0 meV per atom
- E_tot: -32.91 eV per cell
- Spin magnetization: 0.001 μB/f.u.
- Formation enthalpy at 0 K: 0.1304 eV/atom



# 6
Here is crystalline BeZnCo2 at its relaxed geometry from the Alexandria database. Energies are from PBE.

Lattice parameters (Å, degrees): 8.1893 8.1893 8.1893 17.64 17.64 17.64
Site moments in Bohr magnetons follow the coordinates.
Positions (direct):
Be (0.7422, 0.7422, 0.7422)  -0.04
Zn (0.4990, 0.4990, 0.4990)  -0.02
Co (0.0030, 0.0030, 0.0030)  1.17
Co (0.2558, 0.2558, 0.2558)  1.42

Properties
- E above lowest polymorph: 160 meV per atom
- E_tot: -19.03 eV per cell
- Spin magnetization: 2.463 μB/f.u.
- Formation enthalpy at 0 K: 0.0455 eV/atom